Below is a relaxed structure of AlCSeBr2, with properties calculated at the PBE-GGA level.

calculated volume = 103.25 Å³ per cell
DOS(E_F) = 3.0 states/eV/cell
DFT total energy = -14.97 eV/cell
ρ = 4.47 g/cm³
total magnetization = 0.0 μB per formula unit
crystal system = tetragonal

Cell: 4.8198 4.8198 4.4445 Å, 90.00 90.00 90.00°
With the nearest neighbours (Å) after each atom.
Space group P4/mmm (No. 123)
Inequivalent atoms, fractional coordinates:
Al1 0.0000 0.0000 0.0000 (multiplicity 1)  8 Br 3.28, 4 Se 3.41
C1 0.5000 0.5000 0.5000 (multiplicity 1)  2 Se 2.22, 4 Br 2.41
Se1 0.5000 0.5000 0.0000 (multiplicity 1)  2 C 2.22
Br1 0.0000 0.5000 0.5000 (multiplicity 2)  2 C 2.41